Computed, not measured: SrCuNi2 after structural relaxation at the PBE level of DFT.

Values from the calculation:
ΔE_f: 398 meV per atom
Energy above the lowest structure with this stoichiometry: 0.4682 eV/atom
SG: I4/mmm (139)
DOS at the Fermi energy: 3.0 states/eV per cell

Cell: 4.8015 4.8015 4.8015 Å, 128.14 128.14 76.40°
Atoms (fractional coordinates):
1 Sr 0.2500 0.7500 0.5000
2 Ni 0.0000 0.0000 0.0000
3 Ni 0.5000 0.5000 0.0000
4 Cu 0.7500 0.2500 0.5000